Entry 1:
Sm8HC3Cl3: relaxed, PBE.

Cell and atoms, written as CIF:
```
data_Sm8HC3Cl3
_chemical_formula_sum 'Sm24 H3 C9 Cl9'
_symmetry_space_group_name_H-M 'R -3 m'
_symmetry_Int_Tables_number 166
_symmetry_space_group_name_Hall '-R 3 2"'
_cell_length_a 7.4809
_cell_length_b 7.4809
_cell_length_c 20.3430
_cell_angle_alpha 90.00
_cell_angle_beta 90.00
_cell_angle_gamma 120.00
loop_
_atom_site_label
_atom_site_type_symbol
_atom_site_fract_x
_atom_site_fract_y
_atom_site_fract_z
Sm1 Sm 0.0000 0.0000 0.2320
Sm2 Sm 0.0215 0.5108 0.7641
H1 H 0.0000 0.0000 0.5000
C1 C 0.0000 0.5000 0.5000
Cl1 Cl 0.0000 0.5000 0.0000
```



Entry 2:
# MgBe2PO6 | Alexandria | PBE | relaxed
# Raw formation energy   -52.9 kcal/mol of atoms
data_MgBe2PO6
_chemical_formula_sum 'Mg4 Be8 P4 O24'
_symmetry_space_group_name_H-M 'C 1 2/c 1'
_symmetry_Int_Tables_number 15
_symmetry_space_group_name_Hall '-C 2yc'
_cell_length_a 9.9863
_cell_length_b 9.9556
_cell_length_c 5.4215
_cell_angle_alpha 90.00
_cell_angle_beta 120.85
_cell_angle_gamma 90.00
loop_
_atom_site_label
_atom_site_type_symbol
_atom_site_fract_x
_atom_site_fract_y
_atom_site_fract_z
Mg1 Mg 0.0000 0.1749 0.2500
Be1 Be 0.2114 0.0705 0.1486
P1 P 0.0000 0.3031 0.7500
O1 O 0.0969 0.2128 0.0202
O2 O 0.1084 0.3835 0.6837
O3 O 0.1639 0.0336 0.3937



Number 1: raw total energy -5.773 eV/atom. Number 2: raw total energy -6.713 eV/atom.